[1]
Material: K2Zn2Pd
Method: DFT, PBE
State: optimized geometry

energy of formation	0.02	eV per formula unit
crystal system	tetragonal

```
K2Zn2Pd
1.0
6.884 0.000 0.000
0.000 6.884 0.000
0.000 0.000 5.587
Zn K Pd
4 4 2
direct
0.148 0.352 0.000
0.852 0.648 0.000
0.352 0.852 0.000
0.648 0.148 0.000
0.818 0.318 0.500
0.182 0.682 0.500
0.318 0.182 0.500
0.682 0.818 0.500
0.500 0.500 0.000
0.000 0.000 0.000
```

[2]
Material: Pr4BiAsS2
Method: DFT, PBE
State: optimized geometry

formation energy without anion corrections	-1.5848	eV per atom
crystal system	monoclinic

```
Pr4BiAsS2
1.0
-1.766 -0.309 3.906
5.825 -3.929 2.322
5.227 4.637 2.730
Pr S As Bi
4 2 1 1
direct
0.500 0.241 0.740
0.000 0.771 0.729
0.500 0.759 0.260
0.000 0.229 0.271
0.000 0.000 0.000
0.500 0.000 0.500
0.000 0.500 0.500
0.500 0.500 0.000
```

[3]
Material: LiHfGeRh
Method: DFT, PBE
State: optimized geometry

energy of formation	-2.90	eV per formula unit
crystal system	cubic

```
LiHfGeRh
1.0
4.404 0.000 0.000
2.202 3.814 0.000
2.202 1.271 3.596
Hf Li Ge Rh
1 1 1 1
direct
0.000 0.000 0.000
0.250 0.250 0.250
0.500 0.500 0.500
0.750 0.750 0.750
```

[4]
Material: TlH4F
Method: DFT, PBE
State: optimized geometry

crystal system	triclinic
VASP energy	-42.08	eV for the cell shown

```
TlH4F
1.0
1.525 11.757 2.494
-3.193 -15.145 -3.078
5.394 -8.598 11.077
Tl F H
2 2 8
direct
0.003 0.616 0.253
0.997 0.384 0.747
0.365 0.284 0.760
0.635 0.716 0.240
0.445 0.638 0.523
0.158 0.576 0.929
0.654 0.786 0.580
0.346 0.214 0.420
0.837 0.070 0.975
0.842 0.424 0.071
0.163 0.930 0.025
0.555 0.362 0.477
```

[5]
Material: KScIrPt2
Method: DFT, PBE
State: optimized geometry

energy of formation	4.48	eV per formula unit
crystal system	tetragonal

```
KScIrPt2
1.0
-0.880 -1.300 -4.671
-1.713 -4.677 1.624
-4.573 1.800 0.361
Pt K Ir Sc
2 1 1 1
direct
0.000 0.000 0.500
0.500 0.000 0.000
0.000 0.500 0.000
0.000 0.000 0.000
0.500 0.500 0.500
```

[6]
Material: LaY2Fe
Method: DFT, PBE
State: optimized geometry

energy of formation	1.62	eV per formula unit
crystal system	cubic

```
LaY2Fe
1.0
5.353 0.000 0.000
2.677 4.636 0.000
2.677 1.545 4.371
Fe Y La
1 2 1
direct
0.500 0.500 0.500
0.000 0.000 0.000
0.250 0.250 0.250
0.750 0.750 0.750
```